# PBE-GGA AlCd2Cu2, relaxed
# Calculated formation energy: 96 kJ/mol of formula units
# E: -2.555 eV per atom
data_AlCd2Cu2
_symmetry_space_group_name_H-M 'P 4/m b m'
_symmetry_Int_Tables_number 127
_symmetry_space_group_name_Hall '-P 4 2ab'
_cell_length_a 7.9222
_cell_length_b 7.9222
_cell_length_c 2.8262
_cell_angle_alpha 90.00
_cell_angle_beta 90.00
_cell_angle_gamma 90.00
loop_
_atom_site_label
_atom_site_type_symbol
_atom_site_fract_x
_atom_site_fract_y
_atom_site_fract_z
Al1 Al 0.0000 0.0000 0.0000
Cd1 Cd 0.1314 0.3686 0.0000
Cu1 Cu 0.1682 0.6682 0.5000

=====

# PBE-GGA ErAlCdCu, relaxed
# Calculated formation energy: -85 kJ/mol of formula units
# E: -3.551 eV per atom
data_ErAlCdCu
_symmetry_space_group_name_H-M 'F -4 3 m'
_symmetry_Int_Tables_number 216
_symmetry_space_group_name_Hall 'F -4 2 3'
_cell_length_a 6.7245
_cell_length_b 6.7245
_cell_length_c 6.7245
_cell_angle_alpha 90.00
_cell_angle_beta 90.00
_cell_angle_gamma 90.00
loop_
_atom_site_label
_atom_site_type_symbol
_atom_site_fract_x
_atom_site_fract_y
_atom_site_fract_z
Er1 Er 0.0000 0.0000 0.0000
Al1 Al 0.0000 0.0000 0.5000
Cd1 Cd 0.2500 0.2500 0.2500
Cu1 Cu 0.2500 0.2500 0.7500

=====

# PBE-GGA Al2CdCuGe, relaxed
# Calculated formation energy: 378 kJ/mol of formula units
# E: -2.639 eV per atom
data_Al2CdCuGe
_symmetry_space_group_name_H-M 'P 4/m m m'
_symmetry_Int_Tables_number 123
_symmetry_space_group_name_Hall '-P 4 2'
_cell_length_a 4.9225
_cell_length_b 4.9225
_cell_length_c 5.1683
_cell_angle_alpha 90.00
_cell_angle_beta 90.00
_cell_angle_gamma 90.00
loop_
_atom_site_label
_atom_site_type_symbol
_atom_site_fract_x
_atom_site_fract_y
_atom_site_fract_z
Al1 Al 0.0000 0.5000 0.0000
Cd1 Cd 0.0000 0.0000 0.5000
Cu1 Cu 0.5000 0.5000 0.5000
Ge1 Ge 0.0000 0.0000 0.0000

=====

# PBE-GGA AlCdCuGe2, relaxed
# Calculated formation energy: 528 kJ/mol of formula units
# E: -2.504 eV per atom
data_AlCdCuGe2
_symmetry_space_group_name_H-M 'P 4/m m m'
_symmetry_Int_Tables_number 123
_symmetry_space_group_name_Hall '-P 4 2'
_cell_length_a 5.1786
_cell_length_b 5.1786
_cell_length_c 4.9817
_cell_angle_alpha 90.00
_cell_angle_beta 90.00
_cell_angle_gamma 90.00
loop_
_atom_site_label
_atom_site_type_symbol
_atom_site_fract_x
_atom_site_fract_y
_atom_site_fract_z
Al1 Al 0.0000 0.0000 0.0000
Cd1 Cd 0.0000 0.0000 0.5000
Cu1 Cu 0.5000 0.5000 0.0000
Ge1 Ge 0.0000 0.5000 0.5000

=====

# PBE-GGA HoAlCdCu, relaxed
# Calculated formation energy: -87 kJ/mol of formula units
# E: -3.558 eV per atom
data_HoAlCdCu
_symmetry_space_group_name_H-M 'F -4 3 m'
_symmetry_Int_Tables_number 216
_symmetry_space_group_name_Hall 'F -4 2 3'
_cell_length_a 6.7422
_cell_length_b 6.7422
_cell_length_c 6.7422
_cell_angle_alpha 90.00
_cell_angle_beta 90.00
_cell_angle_gamma 90.00
loop_
_atom_site_label
_atom_site_type_symbol
_atom_site_fract_x
_atom_site_fract_y
_atom_site_fract_z
Ho1 Ho 0.0000 0.0000 0.0000
Al1 Al 0.0000 0.0000 0.5000
Cd1 Cd 0.2500 0.2500 0.2500
Cu1 Cu 0.2500 0.2500 0.7500

=====

# PBE-GGA LaAlCdCu, relaxed
# Calculated formation energy: -79 kJ/mol of formula units
# E: -3.626 eV per atom
data_LaAlCdCu
_symmetry_space_group_name_H-M 'F -4 3 m'
_symmetry_Int_Tables_number 216
_symmetry_space_group_name_Hall 'F -4 2 3'
_cell_length_a 7.0043
_cell_length_b 7.0043
_cell_length_c 7.0043
_cell_angle_alpha 90.00
_cell_angle_beta 90.00
_cell_angle_gamma 90.00
loop_
_atom_site_label
_atom_site_type_symbol
_atom_site_fract_x
_atom_site_fract_y
_atom_site_fract_z
La1 La 0.0000 0.0000 0.0000
Al1 Al 0.2500 0.2500 0.2500
Cd1 Cd 0.0000 0.0000 0.5000
Cu1 Cu 0.2500 0.2500 0.7500

=====

# PBE-GGA LuAlCdCu, relaxed
# Calculated formation energy: -78 kJ/mol of formula units
# E: -3.520 eV per atom
data_LuAlCdCu
_symmetry_space_group_name_H-M 'F -4 3 m'
_symmetry_Int_Tables_number 216
_symmetry_space_group_name_Hall 'F -4 2 3'
_cell_length_a 6.6792
_cell_length_b 6.6792
_cell_length_c 6.6792
_cell_angle_alpha 90.00
_cell_angle_beta 90.00
_cell_angle_gamma 90.00
loop_
_atom_site_label
_atom_site_type_symbol
_atom_site_fract_x
_atom_site_fract_y
_atom_site_fract_z
Lu1 Lu 0.0000 0.0000 0.0000
Al1 Al 0.0000 0.0000 0.5000
Cd1 Cd 0.2500 0.2500 0.2500
Cu1 Cu 0.2500 0.2500 0.7500

=====

# PBE-GGA NdAlCdCu, relaxed
# Calculated formation energy: -81 kJ/mol of formula units
# E: -3.590 eV per atom
data_NdAlCdCu
_symmetry_space_group_name_H-M 'F -4 3 m'
_symmetry_Int_Tables_number 216
_symmetry_space_group_name_Hall 'F -4 2 3'
_cell_length_a 6.9166
_cell_length_b 6.9166
_cell_length_c 6.9166
_cell_angle_alpha 90.00
_cell_angle_beta 90.00
_cell_angle_gamma 90.00
loop_
_atom_site_label
_atom_site_type_symbol
_atom_site_fract_x
_atom_site_fract_y
_atom_site_fract_z
Nd1 Nd 0.0000 0.0000 0.0000
Al1 Al 0.0000 0.0000 0.5000
Cd1 Cd 0.2500 0.2500 0.2500
Cu1 Cu 0.2500 0.2500 0.7500

=====

# PBE-GGA AlCdCu2P, relaxed
# Calculated formation energy: 170 kJ/mol of formula units
# E: -3.299 eV per atom
data_AlCdCu2P
_symmetry_space_group_name_H-M 'P 4/m m m'
_symmetry_Int_Tables_number 123
_symmetry_space_group_name_Hall '-P 4 2'
_cell_length_a 4.3177
_cell_length_b 4.3177
_cell_length_c 5.5058
_cell_angle_alpha 90.00
_cell_angle_beta 90.00
_cell_angle_gamma 90.00
loop_
_atom_site_label
_atom_site_type_symbol
_atom_site_fract_x
_atom_site_fract_y
_atom_site_fract_z
Al1 Al 0.0000 0.0000 0.0000
Cd1 Cd 0.5000 0.5000 0.0000
Cu1 Cu 0.0000 0.5000 0.5000
P1 P 0.5000 0.5000 0.5000

=====

# PBE-GGA AlCdCuPd, relaxed
# Calculated formation energy: -116 kJ/mol of formula units
# E: -3.786 eV per atom
data_AlCdCuPd
_symmetry_space_group_name_H-M 'F -4 3 m'
_symmetry_Int_Tables_number 216
_symmetry_space_group_name_Hall 'F -4 2 3'
_cell_length_a 6.3029
_cell_length_b 6.3029
_cell_length_c 6.3029
_cell_angle_alpha 90.00
_cell_angle_beta 90.00
_cell_angle_gamma 90.00
loop_
_atom_site_label
_atom_site_type_symbol
_atom_site_fract_x
_atom_site_fract_y
_atom_site_fract_z
Al1 Al 0.0000 0.0000 0.0000
Cd1 Cd 0.0000 0.0000 0.5000
Cu1 Cu 0.2500 0.2500 0.2500
Pd1 Pd 0.2500 0.2500 0.7500

=====

# PBE-GGA AlCd2Cu2Pd5, relaxed
# Calculated formation energy: -288 kJ/mol of formula units
# E: -4.272 eV per atom
data_AlCd2Cu2Pd5
_symmetry_space_group_name_H-M 'P 4/m b m'
_symmetry_Int_Tables_number 127
_symmetry_space_group_name_Hall '-P 4 2ab'
_cell_length_a 9.4267
_cell_length_b 9.4267
_cell_length_c 3.6445
_cell_angle_alpha 90.00
_cell_angle_beta 90.00
_cell_angle_gamma 90.00
loop_
_atom_site_label
_atom_site_type_symbol
_atom_site_fract_x
_atom_site_fract_y
_atom_site_fract_z
Al1 Al 0.0000 0.0000 0.0000
Cd1 Cd 0.1687 0.3313 0.0000
Cu1 Cu 0.1299 0.6299 0.0000
Pd1 Pd 0.0000 0.5000 0.5000
Pd2 Pd 0.0735 0.8089 0.5000

=====

# PBE-GGA PrAlCdCu, relaxed
# Calculated formation energy: -77 kJ/mol of formula units
# E: -3.582 eV per atom
data_PrAlCdCu
_symmetry_space_group_name_H-M 'F -4 3 m'
_symmetry_Int_Tables_number 216
_symmetry_space_group_name_Hall 'F -4 2 3'
_cell_length_a 6.9536
_cell_length_b 6.9536
_cell_length_c 6.9536
_cell_angle_alpha 90.00
_cell_angle_beta 90.00
_cell_angle_gamma 90.00
loop_
_atom_site_label
_atom_site_type_symbol
_atom_site_fract_x
_atom_site_fract_y
_atom_site_fract_z
Pr1 Pr 0.0000 0.0000 0.0000
Al1 Al 0.0000 0.0000 0.5000
Cd1 Cd 0.2500 0.2500 0.2500
Cu1 Cu 0.2500 0.2500 0.7500

=====

| no. | DOS(E_F) (states/eV/f.u.) |
| --- | --- |
| 1 | 1.67 |
| 2 | 2.01 |
| 3 | 2.50 |
| 4 | 2.66 |
| 5 | 1.92 |
| 6 | 1.53 |
| 7 | 2.46 |
| 8 | 1.33 |
| 9 | 1.88 |
| 10 | 2.07 |
| 11 | 2.57 |
| 12 | 1.26 |